First-principles (PBE) data for an optimized crystal structure of AcSi3Pd3, as listed in Alexandria.

```
AcSi3Pd3
1.0
6.6655 0.0000 0.0000
0.0000 6.6655 0.0000
0.0000 0.0000 6.6655
Ac Si Pd
2 6 6
Direct
0.0000 0.0000 0.0000
0.5000 0.5000 0.5000
0.0000 0.2500 0.5000
0.0000 0.7500 0.5000
0.2500 0.5000 0.0000
0.5000 0.0000 0.2500
0.5000 0.0000 0.7500
0.7500 0.5000 0.0000
0.0000 0.5000 0.2500
0.0000 0.5000 0.7500
0.2500 0.0000 0.5000
0.5000 0.2500 0.0000
0.5000 0.7500 0.0000
0.7500 0.0000 0.5000
```

Properties
ΔE to the lowest computed polymorph, eV per atom: 0.000
E_form (uncorrected), eV per atom: -0.541
D(E_F), states/eV/f.u.: 5.1
E_tot, eV/cell: -79.5

---

First-principles (PBE) data for an optimized crystal structure of AcSi4Pd6, as listed in Alexandria.

```
AcSi4Pd6
1.0
7.1358 0.0000 0.0000
-3.5679 6.1798 0.0000
0.0000 0.0000 4.0990
Ac Si Pd
1 4 6
Direct
0.0000 0.0000 0.0000
0.3333 0.6667 0.0000
0.4100 0.2050 0.5000
0.7950 0.2050 0.5000
0.7950 0.5900 0.5000
0.2007 0.4015 0.5000
0.2007 0.7993 0.5000
0.5333 0.0666 0.0000
0.5333 0.4667 0.0000
0.5985 0.7993 0.5000
0.9334 0.4667 0.0000
```

Properties
E_form (uncorrected), eV per atom: -0.749
D(E_F), states/eV/f.u.: 3.7
E_tot, eV/cell: -65.2

---

First-principles (PBE) data for an optimized crystal structure of AcSi3Pd2, as listed in Alexandria.

```
AcSi3Pd2
1.0
-2.1489 2.1489 12.6732
2.1489 -2.1489 12.6732
2.1489 2.1489 -12.6732
Ac Si Pd
2 6 4
Direct
0.1474 0.1474 0.0000
0.8526 0.8526 0.0000
0.0462 0.5462 0.5000
0.3016 0.3016 0.0000
0.4538 0.9538 0.5000
0.5462 0.0462 0.5000
0.6984 0.6984 0.0000
0.9538 0.4538 0.5000
0.2500 0.7500 0.5000
0.4060 0.4060 0.0000
0.5940 0.5940 0.0000
0.7500 0.2500 0.5000
```

Properties
E_form (uncorrected), eV per atom: -0.634
D(E_F), states/eV/f.u.: 3.3
E_tot, eV/cell: -69.1

---

First-principles (PBE) data for an optimized crystal structure of AcSi3Pd5, as listed in Alexandria.

```
AcSi3Pd5
1.0
1.9927 -6.3044 0.0000
1.9927 6.3044 0.0000
0.0000 0.0000 12.7788
Ac Si Pd
2 6 10
Direct
0.1558 0.8442 0.7500
0.8442 0.1558 0.2500
0.1171 0.8829 0.2500
0.3860 0.6140 0.0356
0.3860 0.6140 0.4644
0.6140 0.3860 0.5356
0.6140 0.3860 0.9644
0.8829 0.1171 0.7500
0.0000 0.0000 0.0000
0.0000 0.0000 0.5000
0.2053 0.7947 0.0733
0.2053 0.7947 0.4267
0.4468 0.5532 0.6454
0.4468 0.5532 0.8546
0.5532 0.4468 0.1454
0.5532 0.4468 0.3546
0.7947 0.2053 0.5733
0.7947 0.2053 0.9267
```

Properties
E_form (uncorrected), eV per atom: -0.781
D(E_F), states/eV/f.u.: 3.4
E_tot, eV/cell: -106.7

---

First-principles (PBE) data for an optimized crystal structure of AcSi2Pd3, as listed in Alexandria.

```
AcSi2Pd3
1.0
7.9428 -2.0766 0.0000
7.9428 2.0766 0.0000
-3.1304 0.0000 6.8770
Ac Si Pd
2 4 6
Direct
0.1576 0.1576 0.0731
0.8424 0.8424 0.9269
0.1803 0.1803 0.6504
0.4814 0.4814 0.8271
0.5186 0.5186 0.1729
0.8197 0.8197 0.3496
0.0392 0.0392 0.3538
0.3178 0.3178 0.5693
0.4050 0.4050 0.3174
0.5950 0.5950 0.6826
0.6822 0.6822 0.4307
0.9608 0.9608 0.6462
```

Properties
ΔE to the lowest computed polymorph, eV per atom: 0.000
E_form (uncorrected), eV per atom: -0.799
D(E_F), states/eV/f.u.: 3.5
E_tot, eV/cell: -70.6

---

First-principles (PBE) data for an optimized crystal structure of Ac3Si4Pd2, as listed in Alexandria.

```
Ac3Si4Pd2
1.0
5.9092 -2.1265 0.0000
5.9092 2.1265 0.0000
-1.2994 0.0000 8.6296
Ac Si Pd
3 4 2
Direct
0.0000 0.0000 0.0000
0.3336 0.3336 0.3343
0.6664 0.6664 0.6657
0.0499 0.0499 0.3887
0.2773 0.2773 0.9404
0.7227 0.7227 0.0596
0.9501 0.9501 0.6113
0.3903 0.3903 0.7241
0.6097 0.6097 0.2759
```

Properties
ΔE to the lowest computed polymorph, eV per atom: 0.000
E_form (uncorrected), eV per atom: -0.830
D(E_F), states/eV/f.u.: 5.4
E_tot, eV/cell: -51.9

---

First-principles (PBE) data for an optimized crystal structure of Ac4Si2Pd5, as listed in Alexandria.

```
Ac4Si2Pd5
1.0
7.3583 0.0000 0.0000
0.0000 4.3224 0.0000
-0.0799 0.0000 8.5283
Ac Si Pd
4 2 5
Direct
0.2336 0.0000 0.3758
0.2629 0.0000 0.8799
0.7371 0.0000 0.1201
0.7664 0.0000 0.6242
0.4272 0.5000 0.6241
0.5728 0.5000 0.3759
0.0000 0.5000 0.0000
0.0941 0.5000 0.6554
0.3745 0.5000 0.1387
0.6255 0.5000 0.8613
0.9059 0.5000 0.3446
```

Properties
E_form (uncorrected), eV per atom: -0.810
D(E_F), states/eV/f.u.: 6.0
E_tot, eV/cell: -62.2

---

First-principles (PBE) data for an optimized crystal structure of AcSi2Pd4, as listed in Alexandria.

```
AcSi2Pd4
1.0
2.2137 -6.5871 0.0000
2.2137 6.5871 0.0000
0.0000 0.0000 4.4343
Ac Si Pd
1 2 4
Direct
0.0000 0.0000 0.0000
0.3981 0.6019 0.5000
0.6019 0.3981 0.5000
0.1813 0.8187 0.5000
0.3210 0.6790 0.0000
0.6790 0.3210 0.0000
0.8187 0.1813 0.5000
```

Properties
ΔE to the lowest computed polymorph, eV per atom: 0.000
E_form (uncorrected), eV per atom: -0.732
D(E_F), states/eV/f.u.: 5.3
E_tot, eV/cell: -40.8

---

First-principles (PBE) data for an optimized crystal structure of Ac2Si6Pd21, as listed in Alexandria.

```
Ac2Si6Pd21
1.0
0.0000 6.1975 6.1975
6.1975 0.0000 6.1975
6.1975 6.1975 0.0000
Ac Si Pd
2 6 21
Direct
0.2500 0.2500 0.2500
0.7500 0.7500 0.7500
0.2367 0.2367 0.7633
0.2367 0.7633 0.2367
0.2367 0.7633 0.7633
0.7633 0.2367 0.2367
0.7633 0.2367 0.7633
0.7633 0.7633 0.2367
0.1130 0.1130 0.1130
0.1130 0.1130 0.6609
0.1130 0.6609 0.1130
0.1560 0.5000 0.5000
0.1560 0.5000 0.8440
0.1560 0.8440 0.5000
0.3391 0.8870 0.8870
0.5000 0.1560 0.5000
0.5000 0.1560 0.8440
0.5000 0.5000 0.1560
0.5000 0.5000 0.5000
0.5000 0.5000 0.8440
0.5000 0.8440 0.1560
0.5000 0.8440 0.5000
0.6609 0.1130 0.1130
0.8440 0.1560 0.5000
0.8440 0.5000 0.1560
0.8440 0.5000 0.5000
0.8870 0.3391 0.8870
0.8870 0.8870 0.3391
0.8870 0.8870 0.8870
```

Properties
E_form (uncorrected), eV per atom: -0.708
D(E_F), states/eV/f.u.: 15.2
E_tot, eV/cell: -170.3

---

First-principles (PBE) data for an optimized crystal structure of Ac2SiPd4, as listed in Alexandria.

```
Ac2SiPd4
1.0
0.0000 4.3189 4.5848
4.3093 0.0000 4.5848
4.3093 4.3189 0.0000
Ac Si Pd
2 1 4
Direct
0.0000 0.0000 0.5000
0.5000 0.5000 0.0000
0.2649 0.2649 0.7351
0.5245 0.9745 0.4755
0.5237 0.9755 0.0245
0.9745 0.5245 0.0255
0.9755 0.5237 0.4763
```

Properties
E_form (uncorrected), eV per atom: -0.713
D(E_F), states/eV/f.u.: 2.2
E_tot, eV/cell: -39.4

---

First-principles (PBE) data for an optimized crystal structure of AcSi6Pd12, as listed in Alexandria.

```
AcSi6Pd12
1.0
5.6503 3.2622 2.8365
-5.6503 3.2622 2.8365
0.0000 -6.5244 2.8365
Ac Si Pd
1 6 12
Direct
0.0000 0.0000 0.0000
0.2457 0.2457 0.6825
0.2457 0.6825 0.2457
0.3175 0.7543 0.7543
0.6825 0.2457 0.2457
0.7543 0.3175 0.7543
0.7543 0.7543 0.3175
0.1261 0.5000 0.8739
0.1261 0.8739 0.5000
0.1753 0.4418 0.4418
0.4418 0.1753 0.4418
0.4418 0.4418 0.1753
0.5000 0.1261 0.8739
0.5000 0.8739 0.1261
0.5582 0.5582 0.8247
0.5582 0.8247 0.5582
0.8247 0.5582 0.5582
0.8739 0.1261 0.5000
0.8739 0.5000 0.1261
```

Properties
E_form (uncorrected), eV per atom: -0.698
D(E_F), states/eV/f.u.: 9.0
E_tot, eV/cell: -112.2

---

First-principles (PBE) data for an optimized crystal structure of Ac3Si2Pd7, as listed in Alexandria.

```
Ac3Si2Pd7
1.0
2.1977 -14.4910 0.0000
2.1977 14.4910 0.0000
0.0000 0.0000 4.2426
Ac Si Pd
3 2 7
Direct
0.0000 0.0000 0.0000
0.1962 0.8038 0.0000
0.8038 0.1962 0.0000
0.4190 0.5810 0.5000
0.5810 0.4190 0.5000
0.1146 0.8854 0.5000
0.3154 0.6846 0.5000
0.3834 0.6166 0.0000
0.5000 0.5000 0.5000
0.6166 0.3834 0.0000
0.6846 0.3154 0.5000
0.8854 0.1146 0.5000
```

Properties
E_form (uncorrected), eV per atom: -0.690
D(E_F), states/eV/f.u.: 8.7
E_tot, eV/cell: -67.8